Here is SiWS2 after structural relaxation from Alexandria. Energies are from GGA-PBE.

Its crystal system is trigonal. The value obtained for the size of the total moment is 0.00 μB per atom. As for the uncorrected formation energy: 0.220 eV/atom.

The space group is R-3m (No. 166, hexagonal axes) and the conventional cell measures 3.1539, 3.1539 and 22.4548 Å, with angles of 90.00, 90.00 and 120.00 degrees. The inequivalent atoms are Si at (0.0000, 0.0000, 0.0000), W at (0.0000, 0.0000, 0.5000) and S at (0.0000, 0.0000, 0.3953).